[1]
Crystalline Ac4Cd6Pb7 at its relaxed geometry. Source: Alexandria, functional PBE.

Results
DOS at the Fermi energy (states/eV per atom): 0.4825
Calculated formation energy (eV/atom): -0.334
Crystal system: cubic
Total energy (eV per cell): -107.12

Lattice parameters (Å, degrees): 10.1362 10.1362 10.1362 90.00 90.00 90.00
Space group Im-3m (No. 229)
Unique sites:
Ac: 0.2500 0.2500 0.2500 (multiplicity 8)
Cd: 0.0000 0.0000 0.3047 (multiplicity 12)
Pb: 0.0000 0.0000 0.0000 (multiplicity 2)
Pb: 0.0000 0.2500 0.5000 (multiplicity 12)



[2]
Crystalline SrBe2B2 at its relaxed geometry. Source: Alexandria, functional PBE.

Results
DOS at the Fermi energy (states/eV per atom): 0.5911
Calculated formation energy (eV/atom): 0.710
Crystal system: tetragonal
Total energy (eV per cell): -37.88

Lattice parameters (Å, degrees): 6.8859 6.8859 3.1611 90.00 90.00 90.00
Space group P4/mbm (No. 127)
Unique sites:
Sr: 0.0000 0.0000 0.0000 (multiplicity 2)
Be: 0.1006 0.3994 0.5000 (multiplicity 4)
B: 0.0826 0.5826 0.0000 (multiplicity 4)



[3]
Crystalline NaCa3Pt at its relaxed geometry. Source: Alexandria, functional PBE.

Results
DOS at the Fermi energy (states/eV per atom): 0.5518
Calculated formation energy (eV/atom): -0.153
Crystal system: hexagonal
Total energy (eV per cell): -28.26

Lattice parameters (Å, degrees): 4.8338 4.8338 20.0119 90.00 90.00 120.00
Space group P6_3/mmc (No. 194)
Unique sites:
Na: 0.0000 0.0000 0.0000 (multiplicity 2)
Ca: 0.0000 0.0000 0.2500 (multiplicity 2)
Ca: 0.3333 0.6667 0.1124 (multiplicity 4)
Pt: 0.3333 0.6667 0.2500 (multiplicity 2)



[4]
Crystalline Mg2Zn2Au3 at its relaxed geometry. Source: Alexandria, functional PBE.

Results
DOS at the Fermi energy (states/eV per atom): 0.2354
Calculated formation energy (eV/atom): -0.374
Crystal system: orthorhombic
Total energy (eV per cell): -36.38

Lattice parameters (Å, degrees): 3.3263 22.1941 3.3607 90.00 90.00 90.00
Space group Cmmm (No. 65)
Unique sites:
Mg: 0.0000 0.0718 0.0000 (multiplicity 4)
Zn: 0.0000 0.2057 0.0000 (multiplicity 4)
Au: 0.0000 0.3556 0.5000 (multiplicity 4)
Au: 0.0000 0.5000 0.5000 (multiplicity 2)



[5]
Crystalline SrLa at its relaxed geometry. Source: Alexandria, functional PBE.

Results
DOS at the Fermi energy (states/eV per atom): 1.3831
Calculated formation energy (eV/atom): 0.317
Crystal system: tetragonal
Total energy (eV per cell): -47.80

Lattice parameters (Å, degrees): 14.0802 14.0802 3.6925 90.00 90.00 90.00
Space group I4/m (No. 87)
Unique sites:
Sr: 0.1185 0.6555 0.0000 (multiplicity 8)
La: 0.0688 0.1381 0.0000 (multiplicity 8)



[6]
Crystalline BeRhW2 at its relaxed geometry. Source: Alexandria, functional PBE.

Results
DOS at the Fermi energy (states/eV per atom): 0.9125
Calculated formation energy (eV/atom): 0.604
Crystal system: tetragonal
Total energy (eV per cell): -138.27

Lattice parameters (Å, degrees): 3.6663 3.6663 18.2490 90.00 90.00 90.00
Space group I-42d (No. 122)
Unique sites:
Be: 0.0000 0.0000 0.0000 (multiplicity 4)
Rh: 0.0000 0.0000 0.5000 (multiplicity 4)
W: 0.2320 0.2500 0.1250 (multiplicity 8)



[7]
Crystalline VGeRh2 at its relaxed geometry. Source: Alexandria, functional PBE.

Results
DOS at the Fermi energy (states/eV per atom): 1.3296
Calculated formation energy (eV/atom): -0.340
Crystal system: tetragonal
Total energy (eV per cell): -29.80

Lattice parameters (Å, degrees): 3.9727 3.9727 3.5962 90.00 90.00 90.00
Space group P4/mmm (No. 123)
Unique sites:
V: 0.0000 0.0000 0.0000 (multiplicity 1)
Ge: 0.5000 0.5000 0.0000 (multiplicity 1)
Rh: 0.0000 0.5000 0.5000 (multiplicity 2)



[8]
Crystalline BiSb2TePt at its relaxed geometry. Source: Alexandria, functional PBE.

Results
Energy relative to the elements, uncorrected (meV per atom): 1415
DOS at the Fermi energy (states/eV per atom): 1.2110
Crystal system: tetragonal
Total energy (eV per cell): -14.23

Lattice parameters (Å, degrees): 5.7313 5.7313 5.8010 90.00 90.00 90.00
Space group P4/mmm (No. 123)
Unique sites:
Bi: 0.0000 0.0000 0.0000 (multiplicity 1)
Sb: 0.0000 0.5000 0.0000 (multiplicity 2)
Te: 0.0000 0.0000 0.5000 (multiplicity 1)
Pt: 0.5000 0.5000 0.5000 (multiplicity 1)



- Which of these has the highest DOS at the Fermi energy?
  SrLa